1.
The following is a DFT calculation (PBE-GGA) of an optimized crystal structure of LaIn2P.

Computed properties:
For the raw total energy, the calculation gives -4.49 eV per atom. The value obtained for the formation energy is -0.5343 eV/atom. The total magnetization comes out at 0.0 μB per formula unit. The density of states at the Fermi level is 2.1 states/eV per cell.

Cell lengths 4.346, 4.346, 5.283 Å; angles 90.00, 90.00, 89.99 degrees
Fractional positions:
In  0.000  0.000  0.000
In  0.500  0.500  0.000
La  0.500  0.000  0.500
P  0.000  0.500  0.500



2.
The following is a DFT calculation (PBE-GGA) of an optimized crystal structure of GdTiCu2.

Computed properties:
For the raw total energy, the calculation gives -7.54 eV per atom. The value obtained for the formation energy is -0.0012 eV/atom. The total magnetization comes out at 8.6 μB per formula unit. The density of states at the Fermi level is 4.6 states/eV per cell.

Cell lengths 4.685, 4.685, 4.685 Å; angles 60.00, 60.00, 60.00 degrees
Each line ends with the local moment (μB).
Fractional positions:
Gd  0.000  0.000  0.000  7.13
Cu  0.250  0.250  0.250  0.05
Cu  0.750  0.750  0.750  0.05
Ti  0.500  0.500  0.500  0.96



3.
The following is a DFT calculation (PBE-GGA) of an optimized crystal structure of BaLi2VIr.

Computed properties:
For the raw total energy, the calculation gives -4.48 eV per atom. The value obtained for the formation energy is 0.2676 eV/atom. The total magnetization comes out at 0.3 μB per formula unit. The density of states at the Fermi level is 6.8 states/eV per cell.

Cell lengths 5.046, 4.621, 5.046 Å; angles 90.00, 90.00, 90.00 degrees
Each line ends with the local moment (μB).
Fractional positions:
Ir  0.000  0.000  0.000  -0.04
Li  0.000  0.000  0.500  0.00
Li  0.500  0.000  0.000  0.00
Ba  0.500  0.500  0.500  0.02
V  0.000  0.500  0.000  -0.29



4.
The following is a DFT calculation (PBE-GGA) of an optimized crystal structure of CsOF3.

Computed properties:
For the raw total energy, the calculation gives -3.24 eV per atom. The value obtained for the formation energy from raw total energies is -0.9566 eV per atom. The total magnetization comes out at 0.0 μB per formula unit. The density of states at the Fermi level is 0.0 states/eV per cell.

Cell lengths 7.784, 7.784, 6.191 Å; angles 90.00, 90.00, 145.16 degrees
Fractional positions:
Cs  0.421  0.579  0.250
Cs  0.579  0.421  0.750
O  0.144  0.856  0.250
O  0.856  0.144  0.750
F  0.956  0.546  0.250
F  0.454  0.044  0.250
F  0.546  0.956  0.750
F  0.044  0.454  0.750
F  0.000  0.000  0.000
F  0.000  0.000  0.500



5.
The following is a DFT calculation (PBE-GGA) of an optimized crystal structure of La12Pm5Er2.

Computed properties:
For the raw total energy, the calculation gives -4.69 eV per atom. The value obtained for the formation energy is 0.1497 eV/atom. The total magnetization comes out at 0.0 μB per formula unit. The density of states at the Fermi level is 32.6 states/eV per cell.

Cell lengths 7.643, 11.222, 10.193 Å; angles 58.43, 90.00, 109.91 degrees
Fractional positions:
La  0.005  0.009  0.203
La  0.067  0.666  0.835
La  0.600  0.666  0.835
La  0.090  0.681  0.472
La  0.591  0.681  0.472
La  0.489  0.977  0.687
La  0.511  0.023  0.313
La  0.910  0.319  0.528
La  0.409  0.319  0.528
La  0.933  0.334  0.165
La  0.400  0.334  0.165
La  0.995  0.991  0.797
Pm  0.173  0.346  0.818
Pm  0.324  0.648  0.158
Pm  0.000  0.000  0.500
Pm  0.676  0.352  0.842
Pm  0.827  0.654  0.182
Er  0.700  0.000  0.000
Er  0.300  0.000  0.000



6.
The following is a DFT calculation (PBE-GGA) of an optimized crystal structure of Co3HgPd.

Computed properties:
For the raw total energy, the calculation gives -4.09 eV per atom. The value obtained for the formation energy is 1.2701 eV/atom. The total magnetization comes out at 6.3 μB per formula unit. The density of states at the Fermi level is 6.5 states/eV per cell.

Cell lengths 4.597, 4.597, 4.597 Å; angles 90.00, 90.00, 90.00 degrees
Each line ends with the local moment (μB).
Fractional positions:
Co  0.000  0.500  0.000  1.90
Co  0.000  0.000  0.500  2.90
Co  0.500  0.000  0.000  1.19
Hg  0.500  0.500  0.500  -0.01
Pd  0.000  0.000  0.000  0.48